Entry 1:
The following is a DFT calculation (PBE) of an optimized crystal structure of PmTeAsO.

```
PmTeAsO
1.0
3.765 0.000 0.000
0.000 6.230 0.000
0.000 0.000 7.968
Pm Te As O
2 2 2 2
Direct
0.000 0.113 0.000 Pm
0.000 0.887 0.500 Pm
0.500 0.375 0.563 Te
0.500 0.625 0.063 Te
0.000 0.433 0.319 As
0.000 0.567 0.819 As
0.500 0.079 0.866 O
0.500 0.921 0.366 O
```

Results
VASP energy = -5.64 eV per atom
calculated volume = 187 Å³ per cell
polymorph energy (0 for the lowest one) = 21 meV/atom

***

Entry 2:
The following is a DFT calculation (PBE) of an optimized crystal structure of PmTeAsO.

```
PmTeAsO
1.0
4.129 0.000 0.000
0.000 4.129 0.000
0.000 0.000 10.684
Pm Te As O
2 2 2 2
Direct
0.250 0.250 0.104 Pm
0.750 0.750 0.896 Pm
0.250 0.750 0.500 Te
0.750 0.250 0.500 Te
0.250 0.250 0.729 As
0.750 0.750 0.271 As
0.250 0.750 0.000 O
0.750 0.250 0.000 O
```

Results
VASP energy = -5.66 eV per atom
calculated volume = 182 Å³ per cell
polymorph energy (0 for the lowest one) = 0 meV/atom

***

Entry 3:
The following is a DFT calculation (PBE) of an optimized crystal structure of PmTeAsO.

```
PmTeAsO
1.0
5.858 0.000 0.000
0.000 5.858 0.000
0.000 0.000 5.215
Pm Te As O
2 2 2 2
Direct
0.250 0.750 0.000 Pm
0.750 0.250 0.000 Pm
0.250 0.250 0.418 Te
0.750 0.750 0.582 Te
0.250 0.250 0.926 As
0.750 0.750 0.074 As
0.250 0.750 0.500 O
0.750 0.250 0.500 O
```

Results
VASP energy = -5.11 eV per atom
calculated volume = 179 Å³ per cell
polymorph energy (0 for the lowest one) = 553 meV/atom

***

Entry 4:
The following is a DFT calculation (PBE) of an optimized crystal structure of PmTlAsO.

```
PmTlAsO
1.0
5.988 0.000 0.000
0.000 5.988 0.000
0.000 0.000 5.106
Pm Tl As O
2 2 2 2
Direct
0.250 0.750 0.000 Pm
0.750 0.250 0.000 Pm
0.250 0.250 0.487 Tl
0.750 0.750 0.513 Tl
0.250 0.250 0.986 As
0.750 0.750 0.014 As
0.250 0.750 0.500 O
0.750 0.250 0.500 O
```

Results
VASP energy = -5.27 eV per atom
calculated volume = 183 Å³ per cell
polymorph energy (0 for the lowest one) = 321 meV/atom

***

Entry 5:
The following is a DFT calculation (PBE) of an optimized crystal structure of PmTlAsO.

```
PmTlAsO
1.0
4.148 0.000 0.000
0.000 8.233 0.000
0.000 0.000 6.065
Pm Tl As O
2 2 2 2
Direct
0.000 0.195 0.000 Pm
0.000 0.805 0.500 Pm
0.500 0.381 0.543 Tl
0.500 0.619 0.043 Tl
0.000 0.165 0.495 As
0.000 0.835 0.995 As
0.500 0.303 0.984 O
0.500 0.697 0.484 O
```

Results
VASP energy = -5.37 eV per atom
calculated volume = 207 Å³ per cell
polymorph energy (0 for the lowest one) = 222 meV/atom

***

Entry 6:
The following is a DFT calculation (PBE) of an optimized crystal structure of PmTlAsO.

```
PmTlAsO
1.0
5.767 0.000 0.000
0.000 6.130 0.000
0.000 0.000 5.834
Pm Tl As O
2 2 2 2
Direct
0.000 0.193 0.000 Pm
0.000 0.807 0.500 Pm
0.500 0.221 0.410 Tl
0.500 0.779 0.910 Tl
0.500 0.283 0.903 As
0.500 0.717 0.403 As
0.000 0.137 0.368 O
0.000 0.863 0.868 O
```

Results
VASP energy = -5.48 eV per atom
calculated volume = 206 Å³ per cell
polymorph energy (0 for the lowest one) = 116 meV/atom

***

Entry 7:
The following is a DFT calculation (PBE) of an optimized crystal structure of PmTlAsO.

```
PmTlAsO
1.0
4.272 0.000 0.000
0.000 4.272 0.000
0.000 0.000 9.736
Pm Tl As O
2 2 2 2
Direct
0.250 0.250 0.107 Pm
0.750 0.750 0.893 Pm
0.250 0.750 0.500 Tl
0.750 0.250 0.500 Tl
0.250 0.250 0.721 As
0.750 0.750 0.279 As
0.250 0.750 0.000 O
0.750 0.250 0.000 O
```

Results
VASP energy = -5.59 eV per atom
calculated volume = 178 Å³ per cell
polymorph energy (0 for the lowest one) = 0 meV/atom

***

Entry 8:
The following is a DFT calculation (PBE) of an optimized crystal structure of PmTmAsO.

```
PmTmAsO
1.0
4.264 0.000 0.000
0.000 4.264 0.000
0.000 0.000 9.069
Pm Tm As O
2 2 2 2
Direct
0.250 0.750 0.000 Pm
0.750 0.250 0.000 Pm
0.250 0.250 0.406 Tm
0.750 0.750 0.594 Tm
0.250 0.250 0.780 As
0.750 0.750 0.220 As
0.250 0.750 0.500 O
0.750 0.250 0.500 O
```

Results
VASP energy = -6.50 eV per atom
calculated volume = 165 Å³ per cell
polymorph energy (0 for the lowest one) = 190 meV/atom

***

Entry 9:
The following is a DFT calculation (PBE) of an optimized crystal structure of PmTmAsO.

```
PmTmAsO
1.0
4.286 0.000 0.000
0.000 7.451 0.000
0.000 0.000 6.074
Pm Tm As O
2 2 2 2
Direct
0.000 0.204 0.000 Pm
0.000 0.796 0.500 Pm
0.500 0.394 0.588 Tm
0.500 0.606 0.088 Tm
0.000 0.181 0.493 As
0.000 0.819 0.993 As
0.500 0.339 0.939 O
0.500 0.661 0.439 O
```

Results
VASP energy = -6.69 eV per atom
calculated volume = 194 Å³ per cell
polymorph energy (0 for the lowest one) = 0 meV/atom

***

Entry 10:
The following is a DFT calculation (PBE) of an optimized crystal structure of PmTmAsO.

```
PmTmAsO
1.0
4.372 0.000 0.000
0.000 4.372 0.000
0.000 0.000 8.930
Pm Tm As O
2 2 2 2
Direct
0.250 0.250 0.109 Pm
0.750 0.750 0.891 Pm
0.250 0.750 0.500 Tm
0.750 0.250 0.500 Tm
0.250 0.250 0.696 As
0.750 0.750 0.304 As
0.250 0.750 0.000 O
0.750 0.250 0.000 O
```

Results
VASP energy = -6.63 eV per atom
calculated volume = 171 Å³ per cell
polymorph energy (0 for the lowest one) = 64 meV/atom

***

Entry 11:
The following is a DFT calculation (PBE) of an optimized crystal structure of PmTmAsO.

```
PmTmAsO
1.0
4.122 0.000 0.000
0.000 7.969 0.000
0.000 0.000 5.620
Pm Tm As O
2 2 2 2
Direct
0.000 0.123 0.000 Pm
0.000 0.877 0.500 Pm
0.500 0.287 0.463 Tm
0.500 0.713 0.963 Tm
0.500 0.361 0.959 As
0.500 0.639 0.459 As
0.000 0.177 0.427 O
0.000 0.823 0.927 O
```

Results
VASP energy = -6.63 eV per atom
calculated volume = 185 Å³ per cell
polymorph energy (0 for the lowest one) = 67 meV/atom

***

Entry 12:
The following is a DFT calculation (PBE) of an optimized crystal structure of PmYAsO.

```
PmYAsO
1.0
4.268 0.000 0.000
0.000 7.634 0.000
0.000 0.000 6.072
Pm Y As O
2 2 2 2
Direct
0.000 0.205 0.000 Pm
0.000 0.795 0.500 Pm
0.500 0.392 0.580 Y
0.500 0.608 0.080 Y
0.000 0.173 0.491 As
0.000 0.827 0.991 As
0.500 0.334 0.940 O
0.500 0.666 0.440 O
```

Results
VASP energy = -7.17 eV per atom
calculated volume = 198 Å³ per cell
polymorph energy (0 for the lowest one) = 0 meV/atom

***

Entry 13:
The following is a DFT calculation (PBE) of an optimized crystal structure of PmYAsO.

```
PmYAsO
1.0
4.323 0.000 0.000
0.000 4.323 0.000
0.000 0.000 9.129
Pm Y As O
2 2 2 2
Direct
0.250 0.750 0.000 Pm
0.750 0.250 0.000 Pm
0.250 0.250 0.403 Y
0.750 0.750 0.597 Y
0.250 0.250 0.785 As
0.750 0.750 0.215 As
0.250 0.750 0.500 O
0.750 0.250 0.500 O
```

Results
VASP energy = -7.01 eV per atom
calculated volume = 171 Å³ per cell
polymorph energy (0 for the lowest one) = 161 meV/atom